Material: BaSrAs
Method: DFT, PBE
State: optimized geometry

Geometry as extended XYZ:
```
3
Lattice="5.4522 0.0000 0.0000 2.7261 4.7218 0.0000 2.7261 1.5739 4.4517" Properties=species:S:1:pos:R:3 pbc="T T T"
Sr 5.4522 3.1478 2.2259
As 8.1783 4.7218 3.3388
Ba 0.0000 0.0000 0.0000
```

Summary:
Its space group is F-43m. As for the total DFT energy (no corrections): -3.61 eV/atom. The formation energy is -0.86 eV/atom.